This record from the Alexandria database describes a geometry-optimized PmZn9Pt2 structure. The functional is GGA-PBE.

a b c (Å): 8.794 8.794 2.996
angles (deg): 90.00 90.00 120.00
Sites, in units of the cell vectors:
Pm 0.000 0.000 0.000
Zn 0.000 0.500 0.000
Zn 0.185 0.369 0.500
Zn 0.185 0.815 0.500
Zn 0.369 0.185 0.500
Zn 0.500 0.000 0.000
Zn 0.500 0.500 0.000
Zn 0.631 0.815 0.500
Zn 0.815 0.185 0.500
Zn 0.815 0.631 0.500
Pt 0.333 0.667 0.000
Pt 0.667 0.333 0.000

Calculated values
DOS at the Fermi energy ... 0.446 states/eV/atom
Formation energy ... -0.3000 eV/atom
Electronic total energy ... -2.66 eV per atom
Polymorph energy (0 for the lowest one) ... 116.2 meV per atom

***

This record from the Alexandria database describes a geometry-optimized EuAu3 structure. The functional is GGA-PBE.

a b c (Å): 4.439 4.439 4.441
angles (deg): 90.00 90.00 90.00
Sites, in units of the cell vectors:
Eu 0.000 0.000 0.000
Au 0.000 0.500 0.500
Au 0.500 0.000 0.500
Au 0.500 0.500 0.998

Calculated values
DOS at the Fermi energy ... 3.280 states/eV/atom
Formation energy ... -0.4367 eV/atom
Electronic total energy ... -5.46 eV per atom

***

This record from the Alexandria database describes a geometry-optimized NbSbPd6 structure. The functional is GGA-PBE.

a b c (Å): 5.122 5.125 5.136
angles (deg): 93.47 93.38 93.37
Sites, in units of the cell vectors:
Nb 0.000 0.000 0.000
Sb 0.500 0.500 0.500
Pd 0.048 0.754 0.459
Pd 0.246 0.541 0.952
Pd 0.460 0.047 0.754
Pd 0.540 0.953 0.246
Pd 0.754 0.459 0.048
Pd 0.952 0.246 0.541

Calculated values
DOS at the Fermi energy ... 0.478 states/eV/atom
Formation energy without anion corrections ... -2.269 eV per formula unit
Electronic total energy ... -5.95 eV per atom
Polymorph energy (0 for the lowest one) ... 97.9 meV per atom

***

This record from the Alexandria database describes a geometry-optimized Mg3ZrAg structure. The functional is GGA-PBE.

a b c (Å): 5.612 5.612 5.612
angles (deg): 90.00 90.00 90.00
Sites, in units of the cell vectors:
Mg 0.000 0.000 0.500
Mg 0.000 0.500 0.000
Mg 0.500 0.000 0.000
Zr 0.000 0.000 0.000
Ag 0.500 0.500 0.500

Calculated values
DOS at the Fermi energy ... 1.021 states/eV/atom
Formation energy ... 1.2277 eV/atom
Electronic total energy ... -2.01 eV per atom
Polymorph energy (0 for the lowest one) ... 811.9 meV per atom